Record 1
First-principles (PBE) data for a relaxed YBeCo crystal, as listed in Alexandria.

```
YBeCo
1.0
3.9692 0.0000 0.0000
0.0000 3.9692 0.0000
0.0000 0.0000 6.3702
Y Be Co
2 2 2
Cartesian
0.9923 0.9923 1.2274
2.9769 2.9769 5.1428
0.9923 0.9923 4.1445
2.9769 2.9769 2.2258
0.9923 2.9769 3.1851
2.9769 0.9923 3.1851
```

Summary:
The formation enthalpy at 0 K is -0.2270 eV/atom. As for the magnetization: 0.000 μB per cell. The calculation puts the total energy at -5.992 eV per atom. The value obtained for the density of states at the Fermi level is 0.48 states/eV/atom.

***

Record 2
First-principles (PBE) data for a relaxed YBeCo crystal, as listed in Alexandria.

```
YBeCo
1.0
3.8038 0.0000 0.0000
-1.9019 3.2942 0.0000
0.0000 0.0000 3.8956
Y Be Co
1 1 1
Cartesian
0.0000 0.0000 0.0000
1.9019 1.0981 1.9478
0.0000 2.1961 1.9478
```

Summary:
The formation enthalpy at 0 K is -0.1551 eV/atom. As for the magnetization: 0.000 μB per cell. The calculation puts the total energy at -5.920 eV per atom. The value obtained for the density of states at the Fermi level is 0.65 states/eV/atom.

***

Record 3
First-principles (PBE) data for a relaxed YBe6Co2 crystal, as listed in Alexandria.

```
YBe6Co2
1.0
-1.7959 2.9922 4.6580
1.7959 -2.9922 4.6580
1.7959 2.9922 -4.6580
Y Be Co
1 6 2
Cartesian
0.0000 0.0000 0.0000
1.7959 1.8332 -2.0064
1.7959 2.0563 0.0000
0.0000 1.1590 2.6516
1.7959 1.8332 2.0064
0.0000 0.9359 4.6580
0.0000 1.1590 6.6644
1.7959 0.0000 3.4147
0.0000 2.9922 1.2433
```

Summary:
The formation enthalpy at 0 K is -0.0622 eV/atom. As for the magnetization: 0.000 μB per cell. The calculation puts the total energy at -4.844 eV per atom. The value obtained for the density of states at the Fermi level is 0.62 states/eV/atom.

***

Question: Which formula does entry 1 have?
Answer: YBeCo

***

Please write out number 2 again, unchanged.
First-principles (PBE) data for a relaxed YBeCo crystal, as listed in Alexandria.

```
YBeCo
1.0
3.8038 0.0000 0.0000
-1.9019 3.2942 0.0000
0.0000 0.0000 3.8956
Y Be Co
1 1 1
Cartesian
0.0000 0.0000 0.0000
1.9019 1.0981 1.9478
0.0000 2.1961 1.9478
```

Summary:
The formation enthalpy at 0 K is -0.1551 eV/atom. As for the magnetization: 0.000 μB per cell. The calculation puts the total energy at -5.920 eV per atom. The value obtained for the density of states at the Fermi level is 0.65 states/eV/atom.

***

Question: Look up the formation enthalpy at 0 K of the third one.
Answer: -0.0622 eV/atom